A relaxed structure of ErPaAgHg, computed with PBE-GGA.

## Properties
E_form: 16 kJ/mol of formula units
volume: 24.772 Å³ per atom
theoretical density: 11.84 g/cm³

CIF file:
```
data_ErPaAgHg
_cell_length_a 7.3456
_cell_length_b 7.3456
_cell_length_c 7.3456
_cell_angle_alpha 90.00
_cell_angle_beta 90.00
_cell_angle_gamma 90.00
_space_group_name_H-M_alt 'F -4 3 m'
_space_group_IT_number 216
_space_group_name_Hall 'F -4 2 3'
loop_
_atom_site_label
_atom_site_fract_x
_atom_site_fract_y
_atom_site_fract_z
Er1 0.0000 0.0000 0.0000
Pa1 0.0000 0.0000 0.5000
Ag1 0.2500 0.2500 0.7500
Hg1 0.2500 0.2500 0.2500
```